No. 1
Tb6SmTl PBE-GGA optimized geometry; mass density = 8.56 g cm⁻³; crystal system = trigonal; magnetization = 0.00 μB/f.u.; energy relative to the elements = 18 meV per atom; space-group type = R-3 (148)
1.0
9.282 0.009 0.171
4.636 7.311 -0.175
4.569 2.321 3.744
Tb Sm Tl
6 1 1
Cartesian
5.872 5.072 2.732
14.860 8.757 2.705
6.989 2.183 0.721
3.627 0.885 1.036
12.615 4.569 1.009
11.498 7.458 3.020
9.244 4.821 1.870
0.000 0.000 0.000

=====

No. 2
Tb6SmTl2 PBE-GGA optimized geometry; mass density = 9.06 g cm⁻³; crystal system = monoclinic; magnetization = 0.00 μB/f.u.; energy relative to the elements = -147 meV per atom; space-group type = C2/m (12)
1.0
-0.277 -3.514 1.336
2.958 -3.977 -4.530
11.148 -1.431 3.863
Tb Sm Tl
6 1 2
Cartesian
2.687 -4.582 -0.862
11.143 -4.339 1.530
8.784 -5.094 -0.946
5.583 -6.662 -0.416
8.247 -2.259 1.084
5.046 -3.827 1.614
0.000 0.000 0.000
2.455 -1.841 0.984
11.375 -7.080 -0.316

=====

Table of V (Å³/f.u.), in record order: 253.8; 277.2